Density functional theory data (GGA-PBE) for a geometry-optimized NaAg2PbC structure.

abc: 5.0793 4.4338 5.0793
angles: 90.00 90.00 90.00
Closest atoms and distances in Å follow each position.
Fractional coordinates of all 5 atoms:
Ag 0.5000 0.0000 0.0000  2 Na 2.54
Ag 0.0000 0.0000 0.5000  2 Na 2.54
Na 0.0000 0.0000 0.0000  2 C 2.22
C 0.0000 0.5000 0.0000  2 Na 2.22
Pb 0.5000 0.5000 0.5000  8 Ag 3.37, 4 C 3.59

Computed properties:
calculated volume = 114.4 Å³ per cell
total moment = 0.9 μB/f.u.
density of states at the Fermi level = 0.368 states/eV/atom
calculated formation energy = 7.53 eV/f.u.
space-group type = P4/mmm

Density functional theory data (GGA-PBE) for a geometry-optimized NaAgRh2C structure.

abc: 5.1643 3.8400 5.1643
angles: 90.00 90.00 90.00
Closest atoms and distances in Å follow each position.
Fractional coordinates of all 5 atoms:
Na 0.5000 0.5000 0.5000  8 Rh 3.22
C 0.0000 0.5000 0.0000  2 Ag 1.92
Rh 0.5000 0.0000 0.0000  2 Ag 2.58
Rh 0.0000 0.0000 0.5000  2 Ag 2.58
Ag 0.0000 0.0000 0.0000  2 C 1.92

Computed properties:
calculated volume = 102.4 Å³ per cell
total moment = 2.4 μB/f.u.
density of states at the Fermi level = 1.614 states/eV/atom
calculated formation energy = 9.11 eV/f.u.
space-group type = P4/mmm

Density functional theory data (GGA-PBE) for a geometry-optimized NaSiAgC2 structure.

abc: 4.1461 5.0024 4.1461
angles: 90.00 90.00 90.00
Closest atoms and distances in Å follow each position.
Fractional coordinates of all 5 atoms:
C 0.0000 0.0000 0.5000  2 Ag 2.07
C 0.5000 0.0000 0.0000  2 Ag 2.07
Ag 0.0000 0.0000 0.0000  4 C 2.07
Si 0.5000 0.5000 0.5000  4 Na 2.93, 8 C 3.25
Na 0.0000 0.5000 0.0000  2 Ag 2.50

Computed properties:
calculated volume = 86.0 Å³ per cell
total moment = 0.1 μB/f.u.
density of states at the Fermi level = 0.480 states/eV/atom
space-group type = P4/mmm
E = -16.27 eV/f.u.

Density functional theory data (GGA-PBE) for a geometry-optimized NaTaAgC2 structure.

abc: 4.2066 4.2484 4.2066
angles: 90.00 90.00 90.00
Closest atoms and distances in Å follow each position.
Fractional coordinates of all 5 atoms:
C 0.5000 0.0000 0.0000  2 Na 2.10
C 0.0000 0.0000 0.5000  2 Na 2.10
Ag 0.0000 0.5000 0.0000  2 Na 2.12
Ta 0.5000 0.5000 0.5000  4 Ag 2.97, 8 C 2.99
Na 0.0000 0.0000 0.0000  4 C 2.10, 2 Ag 2.12

Computed properties:
calculated volume = 75.2 Å³ per cell
total moment = 0.0 μB/f.u.
density of states at the Fermi level = 0.559 states/eV/atom
calculated formation energy = 14.33 eV/f.u.
space-group type = P4/mmm

> Which of these has the lowest density of states at the Fermi level?

NaAg2PbC